VASP calculation (PBE) on CrCoAg2 after structural relaxation.

Output
Density ... 8.66 Mg/m³
Offset from the most stable computed form ... 221 meV/atom
Space group ... Cmmm
ΔE_f ... 0.54 eV per atom

a b c (Å): 4.857 4.857 2.827
angles (deg): 90.00 90.00 110.11
Each line ends with the local moment (μB).
Positions (direct):
Ag1 0.000 0.000 0.000  0.04
Ag2 0.500 0.500 0.000  0.04
Co1 0.500 0.000 0.500  1.76
Cr1 0.000 0.500 0.500  3.48